(1)
# GeSe2O6

A crystal of GeSe2O6 relaxed with PBEsol (meta-GGA SCAN, Alexandria via LeMat-Bulk).

Output
The energy above the most stable polymorph in this dataset is 0.0048 eV per atom. Its final energy is -106.99 eV/f.u.

Lattice parameters (Å, degrees): 7.8123 7.8123 7.8123 90.00 90.00 90.00
Closest atoms and distances in Å follow each position.
Sites, in units of the cell vectors:
Ge 0.5000 0.5000 0.5000  6 O 1.89
Ge 0.5000 0.0000 0.0000  6 O 1.89
Ge 0.0000 0.5000 0.0000  6 O 1.89
Ge 0.0000 0.0000 0.5000  6 O 1.89
Se 0.8299 0.6701 0.3299  3 O 1.73
Se 0.1701 0.1701 0.1701  3 O 1.73
Se 0.6701 0.3299 0.8299  3 O 1.73
Se 0.3299 0.8299 0.6701  3 O 1.73
Se 0.1701 0.3299 0.6701  3 O 1.73
Se 0.8299 0.8299 0.8299  3 O 1.73
Se 0.3299 0.6701 0.1701  3 O 1.73
Se 0.6701 0.1701 0.3299  3 O 1.73
O 0.7395 0.5270 0.4733  1 Se 1.73, 1 Ge 1.89
O 0.2605 0.0270 0.0267  1 Se 1.73, 1 Ge 1.89
O 0.7605 0.4730 0.9733  1 Se 1.73, 1 Ge 1.89
O 0.2395 0.9730 0.5267  1 Se 1.73, 1 Ge 1.89
O 0.4733 0.7395 0.5270  1 Se 1.73, 1 Ge 1.89
O 0.0267 0.2605 0.0270  1 Se 1.73, 1 Ge 1.89
O 0.9733 0.7605 0.4730  1 Se 1.73, 1 Ge 1.89
O 0.5267 0.2395 0.9730  1 Se 1.73, 1 Ge 1.89
O 0.5270 0.4733 0.7395  1 Se 1.73, 1 Ge 1.89
O 0.0270 0.0267 0.2605  1 Se 1.73, 1 Ge 1.89
O 0.4730 0.9733 0.7605  1 Se 1.73, 1 Ge 1.89
O 0.9730 0.5267 0.2395  1 Se 1.73, 1 Ge 1.89
O 0.2605 0.4730 0.5267  1 Se 1.73, 1 Ge 1.89
O 0.7395 0.9730 0.9733  1 Se 1.73, 1 Ge 1.89
O 0.2395 0.5270 0.0267  1 Se 1.73, 1 Ge 1.89
O 0.7605 0.0270 0.4733  1 Se 1.73, 1 Ge 1.89
O 0.5267 0.2605 0.4730  1 Se 1.73, 1 Ge 1.89
O 0.9733 0.7395 0.9730  1 Se 1.73, 1 Ge 1.89
O 0.0267 0.2395 0.5270  1 Se 1.73, 1 Ge 1.89
O 0.4733 0.7605 0.0270  1 Se 1.73, 1 Ge 1.89
O 0.4730 0.5267 0.2605  1 Se 1.73, 1 Ge 1.89
O 0.9730 0.9733 0.7395  1 Se 1.73, 1 Ge 1.89
O 0.5270 0.0267 0.2395  1 Se 1.73, 1 Ge 1.89
O 0.0270 0.4733 0.7605  1 Se 1.73, 1 Ge 1.89

***

(2)
# GeSeO2

A crystal of GeSeO2 relaxed with PBEsol (meta-GGA SCAN, Alexandria via LeMat-Bulk).

Output
Its final energy is -49.70 eV/f.u.

Lattice parameters (Å, degrees): 4.0734 4.0734 4.0734 60.00 60.00 60.00
Closest atoms and distances in Å follow each position.
Sites, in units of the cell vectors:
Ge 0.0000 0.0000 0.0000  8 O 2.49
O 0.2500 0.2500 0.2500  4 Ge 2.49, 4 Se 2.49
O 0.7500 0.7500 0.7500  4 Se 2.49, 4 Ge 2.49
Se 0.5000 0.5000 0.5000  8 O 2.49

***

(3)
# SnGeSe2O

A crystal of SnGeSe2O relaxed with PBEsol (meta-GGA SCAN, Alexandria via LeMat-Bulk).

Output
Its final energy is -96.20 eV/f.u.

Lattice parameters (Å, degrees): 5.1668 5.1668 5.4059 90.00 90.00 90.00
Closest atoms and distances in Å follow each position.
Sites, in units of the cell vectors:
O 0.5000 0.5000 0.5000  4 Ge 3.65, 8 Se 3.74
Ge 0.0000 0.0000 0.5000  2 Sn 2.70
Sn 0.0000 0.0000 0.0000  4 Se 2.58, 2 Ge 2.70
Se 0.0000 0.5000 0.0000  2 Sn 2.58
Se 0.5000 0.0000 0.0000  2 Sn 2.58

***

(4)
# SiGeO2

A crystal of SiGeO2 relaxed with PBEsol (meta-GGA SCAN, Alexandria via LeMat-Bulk).

Output
Its final energy is -48.87 eV/f.u.

Lattice parameters (Å, degrees): 2.6920 2.6920 9.6743 82.00 82.00 60.00
Closest atoms and distances in Å follow each position.
Sites, in units of the cell vectors:
Ge 0.0000 0.0000 0.0000  6 Ge 2.69
Si 0.5000 0.5000 0.5000  6 O 1.80
O 0.8651 0.8651 0.4048  3 Si 1.80
O 0.1349 0.1349 0.5952  3 Si 1.80

***

(5)
# SnGe3O

A crystal of SnGe3O relaxed with PBEsol (meta-GGA SCAN, Alexandria via LeMat-Bulk).

Output
Its final energy is -92.29 eV/f.u.

Lattice parameters (Å, degrees): 5.2168 5.2168 5.2168 90.00 90.00 90.00
Closest atoms and distances in Å follow each position.
Sites, in units of the cell vectors:
Ge 0.0000 0.5000 0.0000  2 Sn 2.61
Ge 0.0000 0.0000 0.5000  2 Sn 2.61
Ge 0.5000 0.0000 0.0000  2 Sn 2.61
Sn 0.0000 0.0000 0.0000  6 Ge 2.61
O 0.5000 0.5000 0.5000  12 Ge 3.69

***

(6)
# Sn3GeO

A crystal of Sn3GeO relaxed with PBEsol (meta-GGA SCAN, Alexandria via LeMat-Bulk).

Output
Its final energy is -133.24 eV/f.u.

Lattice parameters (Å, degrees): 4.7730 4.7730 4.7730 90.00 90.00 90.00
Closest atoms and distances in Å follow each position.
Sites, in units of the cell vectors:
Ge 0.5000 0.5000 0.5000  12 Sn 3.38
Sn 0.0000 0.5000 0.0000  2 O 2.39
Sn 0.0000 0.0000 0.5000  2 O 2.39
Sn 0.5000 0.0000 0.0000  2 O 2.39
O 0.0000 0.0000 0.0000  6 Sn 2.39

***

(7)
# Sr3Y2Ge3O12

A crystal of Sr3Y2Ge3O12 relaxed with PBEsol (meta-GGA SCAN, Alexandria via LeMat-Bulk).

Output
Its final energy is -313.01 eV/f.u.

Lattice parameters (Å, degrees): 11.3173 11.3173 11.3173 109.47 109.47 109.47
Closest atoms and distances in Å follow each position.
Sites, in units of the cell vectors:
Sr 0.2500 0.6250 0.3750  8 O 2.55-2.67
Sr 0.7500 0.8750 0.1250  8 O 2.55-2.67
Sr 0.8750 0.2500 0.1250  8 O 2.55-2.67
Sr 0.6250 0.7500 0.3750  8 O 2.55-2.67
Sr 0.2500 0.1250 0.8750  8 O 2.55-2.67
Sr 0.8750 0.6250 0.2500  8 O 2.55-2.67
Sr 0.3750 0.1250 0.2500  8 O 2.55-2.67
Sr 0.7500 0.3750 0.6250  8 O 2.55-2.67
Sr 0.1250 0.3750 0.7500  8 O 2.55-2.67
Sr 0.3750 0.2500 0.6250  8 O 2.55-2.67
Sr 0.1250 0.7500 0.8750  8 O 2.55-2.67
Sr 0.6250 0.8750 0.7500  8 O 2.55-2.67
Y 0.0000 0.0000 0.0000  6 O 2.24
Y 0.5000 0.5000 0.5000  6 O 2.24
Y 0.0000 0.0000 0.5000  6 O 2.24
Y 0.5000 0.5000 0.0000  6 O 2.24
Y 0.0000 0.5000 0.5000  6 O 2.24
Y 0.5000 0.0000 0.5000  6 O 2.24
Y 0.5000 0.0000 0.0000  6 O 2.24
Y 0.0000 0.5000 0.0000  6 O 2.24
Ge 0.8750 0.1250 0.7500  4 O 1.78
Ge 0.1250 0.8750 0.2500  4 O 1.78
Ge 0.7500 0.1250 0.3750  4 O 1.78
Ge 0.6250 0.2500 0.8750  4 O 1.78
Ge 0.2500 0.3750 0.1250  4 O 1.78
Ge 0.8750 0.7500 0.6250  4 O 1.78
Ge 0.6250 0.3750 0.2500  4 O 1.78
Ge 0.3750 0.7500 0.1250  4 O 1.78
Ge 0.1250 0.2500 0.3750  4 O 1.78
Ge 0.7500 0.6250 0.8750  4 O 1.78
Ge 0.2500 0.8750 0.6250  4 O 1.78
Ge 0.3750 0.6250 0.7500  4 O 1.78
O 0.5911 0.3804 0.3939  1 Ge 1.78
O 0.1196 0.2108 0.5135  1 Ge 1.78
O 0.8939 0.5911 0.8804  1 Ge 1.78
O 0.4865 0.1972 0.1061  1 Ge 1.78
O 0.3028 0.0135 0.3939  1 Ge 1.78
O 0.3804 0.8939 0.0911  1 Ge 1.78
O 0.3804 0.4865 0.7892  1 Ge 1.78
O 0.2892 0.9089 0.8028  1 Ge 1.78
O 0.1972 0.5911 0.7108  1 Ge 1.78
O 0.0135 0.8939 0.8028  1 Ge 1.78
O 0.2108 0.1972 0.0911  1 Ge 1.78
O 0.2892 0.3804 0.9865  1 Ge 1.78
O 0.5911 0.2108 0.6972  1 Ge 1.78
O 0.6061 0.1196 0.4089  1 Ge 1.78
O 0.9089 0.6061 0.6196  1 Ge 1.78
O 0.8939 0.3028 0.5135  1 Ge 1.78
O 0.4865 0.2892 0.8804  1 Ge 1.78
O 0.9089 0.3028 0.7892  1 Ge 1.78
O 0.0135 0.1196 0.7108  1 Ge 1.78
O 0.8028 0.4089 0.2892  1 Ge 1.78
O 0.3028 0.2892 0.4089  1 Ge 1.78
O 0.2108 0.0135 0.6196  1 Ge 1.78
O 0.6061 0.4865 0.6972  1 Ge 1.78
O 0.1196 0.9089 0.1061  1 Ge 1.78
O 0.4089 0.6196 0.6061  1 Ge 1.78
O 0.8804 0.7892 0.4865  1 Ge 1.78
O 0.1061 0.4089 0.1196  1 Ge 1.78
O 0.5135 0.8028 0.8939  1 Ge 1.78
O 0.6972 0.9865 0.6061  1 Ge 1.78
O 0.6196 0.1061 0.9089  1 Ge 1.78
O 0.6196 0.5135 0.2108  1 Ge 1.78
O 0.7108 0.0911 0.1972  1 Ge 1.78
O 0.8804 0.0911 0.8939  1 Ge 1.78
O 0.3939 0.5135 0.3028  1 Ge 1.78
O 0.7892 0.9865 0.3804  1 Ge 1.78
O 0.8028 0.3939 0.0135  1 Ge 1.78
O 0.6972 0.7108 0.5911  1 Ge 1.78
O 0.9865 0.8804 0.2892  1 Ge 1.78
O 0.0911 0.6972 0.2108  1 Ge 1.78
O 0.5135 0.7108 0.1196  1 Ge 1.78
O 0.1061 0.6972 0.4865  1 Ge 1.78
O 0.0911 0.3939 0.3804  1 Ge 1.78
O 0.3939 0.8804 0.5911  1 Ge 1.78
O 0.4089 0.7892 0.3028  1 Ge 1.78
O 0.7108 0.6196 0.0135  1 Ge 1.78
O 0.7892 0.8028 0.9089  1 Ge 1.78
O 0.9865 0.1061 0.1972  1 Ge 1.78
O 0.1972 0.6061 0.9865  1 Ge 1.78

***

(8)
# TaGe3O

A crystal of TaGe3O relaxed with PBEsol (meta-GGA SCAN, Alexandria via LeMat-Bulk).

Output
Its final energy is -125.62 eV/f.u.

Lattice parameters (Å, degrees): 4.9369 4.9369 4.9369 90.00 90.00 90.00
Closest atoms and distances in Å follow each position.
Sites, in units of the cell vectors:
Ge 0.0000 0.5000 0.0000  2 Ta 2.47
Ge 0.0000 0.0000 0.5000  2 Ta 2.47
Ge 0.5000 0.0000 0.0000  2 Ta 2.47
O 0.5000 0.5000 0.5000  12 Ge 3.49
Ta 0.0000 0.0000 0.0000  6 Ge 2.47

***

(9)
# GeTe2O

A crystal of GeTe2O relaxed with PBEsol (meta-GGA SCAN, Alexandria via LeMat-Bulk).

Output
Its final energy is -99.68 eV/f.u.

Lattice parameters (Å, degrees): 3.9828 3.9828 7.7594 75.13 75.13 60.00
Closest atoms and distances in Å follow each position.
Sites, in units of the cell vectors:
Ge 0.5000 0.5000 0.5000  6 Te 2.86
Te 0.0904 0.0904 0.7288  1 O 2.01
Te 0.9096 0.9096 0.2712  1 O 2.01
O 0.0000 0.0000 0.0000  2 Te 2.01

***

(10)
# TiGeO2

A crystal of TiGeO2 relaxed with PBEsol (meta-GGA SCAN, Alexandria via LeMat-Bulk).

Output
Its final energy is -52.45 eV/f.u.

Lattice parameters (Å, degrees): 3.2140 3.2140 6.5159 75.72 75.72 60.00
Closest atoms and distances in Å follow each position.
Sites, in units of the cell vectors:
Ge 0.5000 0.5000 0.5000  6 O 2.24
O 0.9006 0.9006 0.2981  1 Ti 1.86
O 0.0994 0.0994 0.7019  1 Ti 1.86
Ti 0.0000 0.0000 0.0000  2 O 1.86

***

(11)
# TiZnGe2O6

A crystal of TiZnGe2O6 relaxed with PBEsol (meta-GGA SCAN, Alexandria via LeMat-Bulk).

Output
Its final energy is -125.68 eV/f.u.

Lattice parameters (Å, degrees): 5.2823 8.4144 11.5604 90.00 98.76 90.00
Closest atoms and distances in Å follow each position.
Sites, in units of the cell vectors:
Ti 0.6483 0.3429 0.7150  4 O 1.85-1.97
Ti 0.8517 0.8429 0.2850  4 O 1.85-1.97
Ti 0.3517 0.6571 0.2850  4 O 1.85-1.97
Ti 0.1483 0.1571 0.7150  4 O 1.85-1.97
Zn 0.1626 0.5499 0.7607  3 O 1.95-2.03
Zn 0.3374 0.0499 0.2393  3 O 1.95-2.03
Zn 0.8374 0.4501 0.2393  3 O 1.95-2.03
Zn 0.6626 0.9501 0.7607  3 O 1.95-2.03
Ge 0.6912 0.6356 0.9287  3 O 1.92-1.94
Ge 0.8088 0.1356 0.0713  3 O 1.92-1.94
Ge 0.3088 0.3644 0.0713  3 O 1.92-1.94
Ge 0.1912 0.8644 0.9287  3 O 1.92-1.94
Ge 0.7449 0.6536 0.5363  4 O 1.72-1.80
Ge 0.7551 0.1536 0.4637  4 O 1.72-1.80
Ge 0.2551 0.3464 0.4637  4 O 1.72-1.80
Ge 0.2449 0.8464 0.5363  4 O 1.72-1.80
O 0.0637 0.7034 0.6054  2 Ge 1.80
O 0.4363 0.2034 0.3946  2 Ge 1.80
O 0.9363 0.2966 0.3946  2 Ge 1.80
O 0.5637 0.7966 0.6054  2 Ge 1.80
O 0.9861 0.6878 0.8577  2 Ge 1.92-1.94, 1 Zn 1.95
O 0.5139 0.1878 0.1423  2 Ge 1.92-1.94, 1 Zn 1.95
O 0.0139 0.3122 0.1423  2 Ge 1.92-1.94, 1 Zn 1.95
O 0.4861 0.8122 0.8577  2 Ge 1.92-1.94, 1 Zn 1.95
O 0.2129 0.0390 0.5813  1 Ge 1.72, 1 Ti 1.91
O 0.2871 0.5390 0.4187  1 Ge 1.72, 1 Ti 1.91
O 0.7871 0.9610 0.4187  1 Ge 1.72, 1 Ti 1.91
O 0.7129 0.4610 0.5813  1 Ge 1.72, 1 Ti 1.91
O 0.0294 0.9950 0.8002  1 Ti 1.85, 1 Ge 1.94, 1 Zn 1.96
O 0.4706 0.4950 0.1998  1 Ti 1.85, 1 Ge 1.94, 1 Zn 1.96
O 0.9706 0.0050 0.1998  1 Ti 1.85, 1 Ge 1.94, 1 Zn 1.96
O 0.5294 0.5050 0.8002  1 Ti 1.85, 1 Ge 1.94, 1 Zn 1.96
O 0.0100 0.6613 0.2158  2 Ti 1.86-1.97, 1 Zn 2.03
O 0.4900 0.1613 0.7842  2 Ti 1.86-1.97, 1 Zn 2.03
O 0.9900 0.3387 0.7842  2 Ti 1.86-1.97, 1 Zn 2.03
O 0.5100 0.8387 0.2158  2 Ti 1.86-1.97, 1 Zn 2.03
O 0.7275 0.6596 0.3845  1 Ge 1.74
O 0.7725 0.1596 0.6155  1 Ge 1.74
O 0.2725 0.3404 0.6155  1 Ge 1.74
O 0.2275 0.8404 0.3845  1 Ge 1.74

***

(12)
# VGeO3

A crystal of VGeO3 relaxed with PBEsol (meta-GGA SCAN, Alexandria via LeMat-Bulk).

Output
Its final energy is -65.19 eV/f.u.

Lattice parameters (Å, degrees): 4.9136 7.7595 7.7595 64.71 76.75 76.75
Closest atoms and distances in Å follow each position.
Sites, in units of the cell vectors:
V 0.2500 0.2700 0.7300  6 O 1.89-1.96
V 0.2500 0.9252 0.0748  6 O 1.90-1.96
V 0.7500 0.7300 0.2700  6 O 1.89-1.96
V 0.7500 0.0748 0.9252  6 O 1.90-1.96
Ge 0.8827 0.2184 0.4359  3 O 1.88-2.00
Ge 0.3827 0.4359 0.2184  3 O 1.88-2.00
Ge 0.6173 0.5641 0.7816  3 O 1.88-2.00
Ge 0.1173 0.7816 0.5641  3 O 1.88-2.00
O 0.8586 0.9873 0.1720  3 V 1.90-1.96
O 0.3586 0.1720 0.9873  3 V 1.90-1.96
O 0.6414 0.8280 0.0127  3 V 1.90-1.96
O 0.1414 0.0127 0.8280  3 V 1.90-1.96
O 0.6701 0.4843 0.3194  1 V 1.89, 2 Ge 1.94-2.00
O 0.1701 0.3194 0.4843  1 V 1.89, 2 Ge 1.94-2.00
O 0.8299 0.6806 0.5157  1 V 1.89, 2 Ge 1.94-2.00
O 0.3299 0.5157 0.6806  1 V 1.89, 2 Ge 1.94-2.00
O 0.6365 0.1679 0.6710  1 Ge 1.88, 2 V 1.91-1.96
O 0.1365 0.6710 0.1679  1 Ge 1.88, 2 V 1.91-1.96
O 0.8635 0.3290 0.8321  1 Ge 1.88, 2 V 1.91-1.96
O 0.3635 0.8321 0.3290  1 Ge 1.88, 2 V 1.91-1.96